# PBE KZrP4, optimized geometry
# Calculated total energy ... -0.3663 Ry per atom
# Energy of formation from the pure elements ... 0.230 eV per atom
# DOS(E_F) ... 17.16 states/eV/cell
data_KZrP4
_space_group_name_H-M_alt 'F -4 3 m'
_space_group_IT_number 216
_space_group_name_Hall 'F -4 2 3'
_cell_length_a 7.561
_cell_length_b 7.561
_cell_length_c 7.561
_cell_angle_alpha 90.00
_cell_angle_beta 90.00
_cell_angle_gamma 90.00
loop_
_atom_site_label
_atom_site_type_symbol
_atom_site_fract_x
_atom_site_fract_y
_atom_site_fract_z
_atom_site_occupancy
K1 K 0.000 0.000 0.000 1
Zr1 Zr 0.250 0.250 0.250 1
P1 P 0.119 0.119 0.619 1